[1]
## Ba2Hg12Au5 (PBE)

Data for Ba2Hg12Au5 after structural relaxation.

Structure (POSCAR):
```
Ba2Hg12Au5
1.0
8.003 0.438 1.149
1.056 7.946 1.149
0.474 0.438 8.072
Hg Ba Au
12 2 5
Direct
0.292 0.708 0.000
0.859 0.354 0.354
0.000 0.708 0.292
0.354 0.354 0.859
0.646 0.141 0.646
0.292 0.000 0.708
0.708 0.292 0.000
0.646 0.646 0.141
0.708 0.000 0.292
0.354 0.859 0.354
0.141 0.646 0.646
0.000 0.292 0.708
0.649 0.649 0.649
0.351 0.351 0.351
0.000 0.000 0.500
0.500 0.000 0.000
0.843 0.843 0.843
0.157 0.157 0.157
0.000 0.500 0.000
```

Properties
V = 26.42 Å³/atom
Calculated density = 12.1 g cm⁻³
Formation energy from the elements = -0.17 eV/atom
Space group = R-3m (166)
Crystal system = trigonal

[2]
## LaHfPd3 (PBE)

Data for LaHfPd3 after structural relaxation.

Structure (POSCAR):
```
LaHfPd3
1.0
-2.352 4.262 1.388
-3.965 -2.709 1.601
2.091 -0.343 4.597
Pd La Hf
3 1 1
Direct
0.500 0.000 0.000
0.000 0.500 0.000
0.000 0.000 0.500
0.000 0.000 0.000
0.500 0.500 0.500
```

Properties
V = 25.94 Å³/atom
Calculated density = 8.1 g cm⁻³
Formation energy from the elements = 0.69 eV/atom
Space group = Pm-3m (221)
Distance to the lowest polymorph of the same formula = 908.7 meV/atom
Crystal system = cubic

[3]
## MgNbZn2Ge (PBE)

Data for MgNbZn2Ge after structural relaxation.

Structure (POSCAR):
```
MgNbZn2Ge
1.0
4.562 0.000 0.000
0.000 4.562 0.000
0.000 0.000 5.134
Mg Nb Zn Ge
1 1 2 1
Direct
0.000 0.000 0.000
0.000 0.000 0.500
0.000 0.500 0.000
0.500 0.000 0.000
0.500 0.500 0.500
```

Properties
V = 21.37 Å³/atom
Calculated density = 5.0 g cm⁻³
Formation energy from the elements = 1.11 eV/atom
Space group = P4/mmm (123)
Distance to the lowest polymorph of the same formula = 462.3 meV/atom
Crystal system = tetragonal

[4]
## YTe2I (PBE)

Data for YTe2I after structural relaxation.

Structure (POSCAR):
```
YTe2I
1.0
-8.681 3.868 -0.478
-9.345 -0.060 1.795
-7.815 3.647 4.021
Te Y I
2 1 1
Direct
0.892 0.892 0.892
0.108 0.108 0.108
0.500 0.500 0.500
0.000 0.000 0.000
```

Properties
V = 41.62 Å³/atom
Calculated density = 4.7 g cm⁻³
Space group = R-3m (166)
Distance to the lowest polymorph of the same formula = 0.0 meV/atom
Raw formation energy = -836 meV per atom
Crystal system = trigonal

[5]
## SmEuHoSc (PBE)

Data for SmEuHoSc after structural relaxation.

Structure (POSCAR):
```
SmEuHoSc
1.0
-2.291 -4.449 -2.594
2.475 -5.052 0.355
-2.394 -4.105 3.031
Eu Sm Sc Ho
1 1 1 1
Direct
0.500 0.500 0.500
0.750 0.750 0.750
0.000 0.000 0.000
0.250 0.250 0.250
```

Properties
V = 31.66 Å³/atom
Calculated density = 6.7 g cm⁻³
Formation energy from the elements = 0.17 eV/atom
Space group = F-43m (216)
Crystal system = cubic

[6]
## K3Cd2Pt2 (PBE)

Data for K3Cd2Pt2 after structural relaxation.

Structure (POSCAR):
```
K3Cd2Pt2
1.0
6.514 0.000 0.000
0.000 9.271 0.000
0.000 0.000 14.422
K Pt Cd
12 8 8
Direct
0.128 0.618 0.097
0.128 0.882 0.903
0.340 0.218 0.750
0.872 0.382 0.903
0.872 0.118 0.403
0.872 0.118 0.097
0.660 0.718 0.750
0.872 0.382 0.597
0.128 0.882 0.597
0.128 0.618 0.403
0.340 0.282 0.250
0.660 0.782 0.250
0.381 0.981 0.421
0.619 0.019 0.921
0.619 0.481 0.421
0.381 0.981 0.079
0.619 0.019 0.579
0.381 0.519 0.579
0.619 0.481 0.079
0.381 0.519 0.921
0.410 0.250 0.500
0.410 0.250 0.000
0.781 0.437 0.250
0.781 0.063 0.750
0.219 0.937 0.250
0.590 0.750 0.000
0.219 0.563 0.750
0.590 0.750 0.500
```

Properties
V = 31.10 Å³/atom
Calculated density = 5.6 g cm⁻³
Formation energy from the elements = -0.18 eV/atom
Space group = Pbcm (57)
Crystal system = orthorhombic

[7]
## CsRh (PBE)

Data for CsRh after structural relaxation.

Structure (POSCAR):
```
CsRh
1.0
-5.874 -1.488 -2.150
2.133 -5.784 -1.825
-1.512 -2.381 5.778
Rh Cs
4 4
Direct
0.250 0.250 0.250
0.750 0.750 0.250
0.250 0.750 0.750
0.750 0.250 0.750
0.000 0.500 0.500
0.500 0.000 0.500
0.000 0.000 0.000
0.500 0.500 0.000
```

Properties
V = 33.22 Å³/atom
Calculated density = 5.9 g cm⁻³
Formation energy from the elements = 1.50 eV/atom
Space group = F-43m (216)
Crystal system = cubic

[8]
## Nd2TmNi (PBE)

Data for Nd2TmNi after structural relaxation.

Structure (POSCAR):
```
Nd2TmNi
1.0
-2.598 1.916 -1.531
-0.538 -2.621 -2.367
-5.743 -3.577 5.266
Ni Nd Tm
1 2 1
Direct
0.500 0.500 0.000
0.000 0.000 0.195
0.000 0.000 0.805
0.500 0.500 0.500
```

Properties
V = 27.36 Å³/atom
Calculated density = 7.8 g cm⁻³
Formation energy from the elements = -0.06 eV/atom
Space group = P4/mmm (123)
Distance to the lowest polymorph of the same formula = 0.0 meV/atom
Crystal system = tetragonal

[9]
## SiRuN3 (PBE)

Data for SiRuN3 after structural relaxation.

Structure (POSCAR):
```
SiRuN3
1.0
-1.138 1.254 3.122
-2.245 -2.738 0.281
2.506 -1.883 1.670
Ru N Si
1 3 1
Direct
0.500 0.500 0.500
0.000 0.500 0.000
0.500 0.000 0.000
0.000 0.000 0.500
0.000 0.000 0.000
```

Properties
V = 8.96 Å³/atom
Calculated density = 6.3 g cm⁻³
Space group = Pm-3m (221)
Raw formation energy = 829 meV per atom
Crystal system = cubic

[10]
## PmDy2Sn9 (PBE)

Data for PmDy2Sn9 after structural relaxation.

Structure (POSCAR):
```
PmDy2Sn9
1.0
-3.246 2.228 2.745
2.597 -1.026 3.904
6.885 11.842 -1.469
Dy Sn Pm
2 9 1
Direct
0.000 0.000 0.334
0.000 0.000 0.666
0.000 0.500 0.170
0.500 0.000 0.830
0.500 0.000 0.170
0.000 0.500 0.830
0.500 0.500 0.335
0.500 0.500 0.665
0.500 0.000 0.500
0.000 0.500 0.500
0.500 0.500 0.000
0.000 0.000 0.000
```

Properties
V = 26.45 Å³/atom
Calculated density = 8.0 g cm⁻³
Formation energy from the elements = -0.44 eV/atom
Space group = P4/mmm (123)
Crystal system = tetragonal

[11]
## NaSm2Sc (PBE)

Data for NaSm2Sc after structural relaxation.

Structure (POSCAR):
```
NaSm2Sc
1.0
-1.758 2.965 -0.370
-1.317 1.593 2.783
9.566 7.965 2.126
Na Sm Sc
1 2 1
Direct
0.000 0.000 0.000
0.906 0.906 0.283
0.094 0.094 0.717
0.500 0.500 0.500
```

Properties
V = 32.45 Å³/atom
Calculated density = 4.7 g cm⁻³
Formation energy from the elements = 0.15 eV/atom
Space group = R-3m (166)
Distance to the lowest polymorph of the same formula = 10.6 meV/atom
Crystal system = trigonal

[12]
## AlNiP2 (PBE)

Data for AlNiP2 after structural relaxation.

Structure (POSCAR):
```
AlNiP2
1.0
3.022 -0.024 0.000
0.025 3.022 0.000
0.000 0.000 6.885
Al P Ni
1 2 1
Direct
0.000 0.000 0.524
0.000 0.000 0.896
0.500 0.500 0.337
0.500 0.500 0.744
```

Properties
V = 15.72 Å³/atom
Calculated density = 3.9 g cm⁻³
Formation energy from the elements = -0.03 eV/atom
Space group = P4mm (99)
Crystal system = tetragonal